(1)
First-principles (PBE) data for a relaxed AcAsPtPb crystal, as listed in the Alexandria database.

Output
The value obtained for the energy of formation is -0.58 eV per atom. Its total energy is -5.207 eV/atom.

Lattice parameters (Å, degrees): 5.271 5.271 5.271 60.00 60.00 60.00
Positions (direct):
Ac: 0.000 0.000 0.000
As: 0.250 0.250 0.250
Pt: 0.750 0.750 0.750
Pb: 0.500 0.500 0.500



(2)
First-principles (PBE) data for a relaxed Ac2As3Pt4Pb crystal, as listed in the Alexandria database.

Output
The value obtained for the energy of formation is -0.82 eV per atom. Its total energy is -5.825 eV/atom.

Lattice parameters (Å, degrees): 4.526 4.526 10.801 90.00 90.00 90.00
Positions (direct):
Ac: 0.000 0.500 0.233
Ac: 0.500 0.000 0.767
As: 0.000 0.500 0.878
As: 0.500 0.000 0.122
As: 0.500 0.500 0.500
Pt: 0.000 0.000 0.000
Pt: 0.000 0.500 0.650
Pt: 0.500 0.000 0.350
Pt: 0.500 0.500 0.000
Pb: 0.000 0.000 0.500



(3)
First-principles (PBE) data for a relaxed Ac2As3Rh4Pb crystal, as listed in the Alexandria database.

Output
The value obtained for the energy of formation is -0.77 eV per atom. Its total energy is -6.298 eV/atom.

Lattice parameters (Å, degrees): 4.339 4.339 11.054 90.00 90.00 90.00
Positions (direct):
Ac: 0.000 0.500 0.242
Ac: 0.500 0.000 0.758
As: 0.000 0.500 0.877
As: 0.500 0.000 0.123
As: 0.500 0.500 0.500
Rh: 0.000 0.000 0.000
Rh: 0.000 0.500 0.656
Rh: 0.500 0.000 0.344
Rh: 0.500 0.500 0.000
Pb: 0.000 0.000 0.500



(4)
First-principles (PBE) data for a relaxed Ac4AsPb2S crystal, as listed in the Alexandria database.

Output
For the uncorrected formation energy, the calculation gives -8.61 eV per formula unit. Its total energy is -5.155 eV/atom.

Lattice parameters (Å, degrees): 7.839 4.526 8.432 90.00 108.07 90.00
Positions (direct):
Ac: 0.241 0.000 0.224
Ac: 0.258 0.500 0.776
Ac: 0.742 0.500 0.224
Ac: 0.759 0.000 0.776
As: 0.500 0.000 0.000
Pb: 0.000 0.000 0.500
Pb: 0.500 0.500 0.500
S: 0.000 0.500 0.000



(5)
First-principles (PBE) data for a relaxed Ac4AsPbS2 crystal, as listed in the Alexandria database.

Output
For the uncorrected formation energy, the calculation gives -11.81 eV per formula unit. Its total energy is -5.607 eV/atom.

Lattice parameters (Å, degrees): 7.748 4.554 7.914 90.00 109.94 90.00
Positions (direct):
Ac: 0.238 0.000 0.238
Ac: 0.245 0.500 0.755
Ac: 0.755 0.500 0.245
Ac: 0.762 0.000 0.762
As: 0.500 0.000 0.000
Pb: 0.500 0.500 0.500
S: 0.000 0.000 0.500
S: 0.000 0.500 0.000



(6)
First-principles (PBE) data for a relaxed Ac6As3PbS2 crystal, as listed in the Alexandria database.

Output
For the uncorrected formation energy, the calculation gives -17.84 eV per formula unit. Its total energy is -5.700 eV/atom.

Lattice parameters (Å, degrees): 10.151 10.151 9.111 103.05 103.05 25.72
Positions (direct):
Ac: 0.001 0.001 0.264
Ac: 0.329 0.329 0.916
Ac: 0.333 0.333 0.417
Ac: 0.667 0.667 0.583
Ac: 0.671 0.671 0.084
Ac: 0.999 0.999 0.736
As: 0.167 0.167 0.828
As: 0.500 0.500 0.500
As: 0.833 0.833 0.172
Pb: 0.500 0.500 0.000
S: 0.171 0.171 0.340
S: 0.829 0.829 0.660



(7)
First-principles (PBE) data for a relaxed Ac6As2PbS3 crystal, as listed in the Alexandria database.

Output
For the uncorrected formation energy, the calculation gives -18.90 eV per formula unit. Its total energy is -5.745 eV/atom.

Lattice parameters (Å, degrees): 10.024 10.024 8.946 101.83 101.83 26.04
Positions (direct):
Ac: 0.001 0.001 0.265
Ac: 0.328 0.328 0.913
Ac: 0.333 0.333 0.416
Ac: 0.667 0.667 0.584
Ac: 0.672 0.672 0.087
Ac: 0.999 0.999 0.735
As: 0.168 0.168 0.336
As: 0.832 0.832 0.664
Pb: 0.500 0.500 0.000
S: 0.167 0.167 0.832
S: 0.500 0.500 0.500
S: 0.833 0.833 0.168



(8)
First-principles (PBE) data for a relaxed Ac4Sb2AsPb crystal, as listed in the Alexandria database.

Output
For the uncorrected formation energy, the calculation gives -8.31 eV per formula unit. Its total energy is -5.168 eV/atom.

Lattice parameters (Å, degrees): 8.178 4.705 8.352 90.00 108.99 90.00
Positions (direct):
Ac: 0.241 0.000 0.238
Ac: 0.248 0.500 0.760
Ac: 0.752 0.500 0.240
Ac: 0.759 0.000 0.762
Sb: 0.500 0.000 0.000
Sb: 0.500 0.500 0.500
As: 0.000 0.500 0.000
Pb: 0.000 0.000 0.500



(9)
First-principles (PBE) data for a relaxed Ac6As2Pb3Se crystal, as listed in the Alexandria database.

Output
For the uncorrected formation energy, the calculation gives -12.29 eV per formula unit. Its total energy is -5.071 eV/atom.

Lattice parameters (Å, degrees): 10.701 10.701 9.677 107.72 107.72 24.61
Positions (direct):
Ac: 0.006 0.006 0.242
Ac: 0.327 0.327 0.431
Ac: 0.337 0.337 0.900
Ac: 0.663 0.663 0.100
Ac: 0.673 0.673 0.569
Ac: 0.994 0.994 0.758
As: 0.166 0.166 0.332
As: 0.834 0.834 0.668
Pb: 0.166 0.166 0.834
Pb: 0.500 0.500 0.500
Pb: 0.834 0.834 0.166
Se: 0.500 0.500 0.000



(10)
First-principles (PBE) data for a relaxed Ac6AsPb2Se3 crystal, as listed in the Alexandria database.

Output
For the uncorrected formation energy, the calculation gives -16.35 eV per formula unit. Its total energy is -5.293 eV/atom.

Lattice parameters (Å, degrees): 10.332 10.332 9.222 101.80 101.80 26.11
Positions (direct):
Ac: 0.001 0.001 0.259
Ac: 0.336 0.336 0.914
Ac: 0.337 0.337 0.425
Ac: 0.663 0.663 0.575
Ac: 0.664 0.664 0.086
Ac: 0.999 0.999 0.741
As: 0.500 0.500 0.500
Pb: 0.166 0.166 0.831
Pb: 0.834 0.834 0.169
Se: 0.166 0.166 0.333
Se: 0.500 0.500 0.000
Se: 0.834 0.834 0.667



(11)
First-principles (PBE) data for a relaxed Ac4AsPbSe2 crystal, as listed in the Alexandria database.

Output
For the uncorrected formation energy, the calculation gives -11.62 eV per formula unit. Its total energy is -5.422 eV/atom.

Lattice parameters (Å, degrees): 7.919 4.634 8.016 90.00 109.79 90.00
Positions (direct):
Ac: 0.245 0.000 0.242
Ac: 0.251 0.500 0.758
Ac: 0.749 0.500 0.242
Ac: 0.755 0.000 0.758
As: 0.000 0.500 0.000
Pb: 0.000 0.000 0.500
Se: 0.500 0.000 0.000
Se: 0.500 0.500 0.500



(12)
First-principles (PBE) data for a relaxed Ac6Te3As2Pb crystal, as listed in the Alexandria database.

Output
For the uncorrected formation energy, the calculation gives -16.60 eV per formula unit. Its total energy is -5.307 eV/atom.

Lattice parameters (Å, degrees): 10.555 10.555 9.453 103.67 103.67 25.68
Positions (direct):
Ac: 0.007 0.007 0.249
Ac: 0.327 0.327 0.431
Ac: 0.334 0.334 0.898
Ac: 0.666 0.666 0.102
Ac: 0.673 0.673 0.569
Ac: 0.993 0.993 0.751
Te: 0.165 0.165 0.832
Te: 0.500 0.500 0.500
Te: 0.835 0.835 0.168
As: 0.169 0.169 0.336
As: 0.831 0.831 0.664
Pb: 0.500 0.500 0.000